Entry 1:
## La2HPt (GGA-PBE)

Data for an optimized crystal structure of La2HPt.

a = 5.0233 Å, b = 5.0233 Å, c = 5.0233 Å
α = 60.00°, β = 60.00°, γ = 60.00°
With the nearest neighbours (Å) after each atom.
Atoms (fractional coordinates):
La (0.2500, 0.2500, 0.2500)  4 H 3.08, 4 Pt 3.08
La (0.7500, 0.7500, 0.7500)  4 H 3.08, 4 Pt 3.08
H (0.0000, 0.0000, 0.0000)  8 La 3.08
Pt (0.5000, 0.5000, 0.5000)  8 La 3.08

## Properties
Relative energy among the computed polymorphs in meV per atom: 195



Entry 2:
## La2H2Pt3 (GGA-PBE)

Data for an optimized crystal structure of La2H2Pt3.

a = 4.5896 Å, b = 3.8556 Å, c = 7.1938 Å
α = 90.00°, β = 96.02°, γ = 90.00°
With the nearest neighbours (Å) after each atom.
Atoms (fractional coordinates):
La (0.2117, 0.0000, 0.2655)  2 H 2.67
La (0.7883, 0.0000, 0.7345)  2 H 2.67
H (0.1653, 0.5000, 0.8538)  2 Pt 1.77-1.82
H (0.8347, 0.5000, 0.1462)  2 Pt 1.77-1.82
Pt (0.2737, 0.5000, 0.6179)  1 H 1.82
Pt (0.5000, 0.5000, 0.0000)  2 H 1.77
Pt (0.7263, 0.5000, 0.3821)  1 H 1.82

## Properties
DFT total energy in eV per atom: -5.801



Entry 3:
## LaH2Pt (GGA-PBE)

Data for an optimized crystal structure of LaH2Pt.

a = 8.1020 Å, b = 4.5017 Å, c = 6.3007 Å
α = 90.00°, β = 90.00°, γ = 90.00°
With the nearest neighbours (Å) after each atom.
Atoms (fractional coordinates):
La (0.1831, 0.2500, 0.1493)  6 H 2.41-2.49
La (0.3169, 0.7500, 0.6493)  6 H 2.41-2.49
La (0.6831, 0.2500, 0.3507)  6 H 2.41-2.49
La (0.8169, 0.7500, 0.8507)  6 H 2.41-2.49
H (0.0870, 0.5137, 0.8251)  1 Pt 1.74
H (0.0870, 0.9863, 0.8251)  1 Pt 1.74
H (0.4130, 0.0137, 0.3251)  1 Pt 1.74
H (0.4130, 0.4863, 0.3251)  1 Pt 1.74
H (0.5870, 0.5137, 0.6749)  1 Pt 1.74
H (0.5870, 0.9863, 0.6749)  1 Pt 1.74
H (0.9130, 0.0137, 0.1749)  1 Pt 1.74
H (0.9130, 0.4863, 0.1749)  1 Pt 1.74
Pt (0.0385, 0.2500, 0.6333)  2 H 1.74
Pt (0.4615, 0.7500, 0.1333)  2 H 1.74
Pt (0.5385, 0.2500, 0.8667)  2 H 1.74
Pt (0.9615, 0.7500, 0.3667)  2 H 1.74

## Properties
Relative energy among the computed polymorphs in meV per atom: 24



Entry 4:
## LaHPt (GGA-PBE)

Data for an optimized crystal structure of LaHPt.

a = 10.9365 Å, b = 4.8251 Å, c = 4.0570 Å
α = 90.00°, β = 90.00°, γ = 90.00°
With the nearest neighbours (Å) after each atom.
Atoms (fractional coordinates):
La (0.1387, 0.2500, 0.0040)  3 H 2.49-2.51
La (0.3613, 0.7500, 0.5040)  3 H 2.49-2.51
La (0.6387, 0.2500, 0.4960)  3 H 2.49-2.51
La (0.8613, 0.7500, 0.9960)  3 H 2.49-2.51
H (0.1858, 0.7500, 0.8947)  1 Pt 1.87
H (0.3142, 0.2500, 0.3947)  1 Pt 1.87
H (0.6858, 0.7500, 0.6053)  1 Pt 1.87
H (0.8142, 0.2500, 0.1053)  1 Pt 1.87
Pt (0.0740, 0.7500, 0.5467)  1 H 1.87
Pt (0.4260, 0.2500, 0.0467)  1 H 1.87
Pt (0.5740, 0.7500, 0.9533)  1 H 1.87
Pt (0.9260, 0.2500, 0.4533)  1 H 1.87

## Properties
Relative energy among the computed polymorphs in meV per atom: 49



Entry 5:
## LaH2Pt4 (GGA-PBE)

Data for an optimized crystal structure of LaH2Pt4.

a = 7.0158 Å, b = 7.0158 Å, c = 4.3393 Å
α = 90.00°, β = 90.00°, γ = 90.00°
With the nearest neighbours (Å) after each atom.
Atoms (fractional coordinates):
La (0.0000, 0.0000, 0.0000)  4 H 2.56
La (0.5000, 0.5000, 0.5000)  4 H 2.56
H (0.1365, 0.1365, 0.5000)  2 Pt 1.77
H (0.3635, 0.6365, 0.0000)  2 Pt 1.77
H (0.6365, 0.3635, 0.0000)  2 Pt 1.77
H (0.8635, 0.8635, 0.5000)  2 Pt 1.77
Pt (0.0410, 0.6840, 0.5000)  1 H 1.77
Pt (0.1840, 0.4590, 0.0000)  1 H 1.77
Pt (0.3160, 0.9590, 0.5000)  1 H 1.77
Pt (0.4590, 0.1840, 0.0000)  1 H 1.77
Pt (0.5410, 0.8160, 0.0000)  1 H 1.77
Pt (0.6840, 0.0410, 0.5000)  1 H 1.77
Pt (0.8160, 0.5410, 0.0000)  1 H 1.77
Pt (0.9590, 0.3160, 0.5000)  1 H 1.77

## Properties
DFT total energy in eV per atom: -5.564



Entry 6:
## LaHPt (GGA-PBE)

Data for an optimized crystal structure of LaHPt.

a = 6.1741 Å, b = 6.1741 Å, c = 4.4893 Å
α = 90.28°, β = 90.28°, γ = 38.74°
With the nearest neighbours (Å) after each atom.
Atoms (fractional coordinates):
La (0.0000, 0.0000, 0.0000)  3 H 2.37-2.48
La (0.7151, 0.7151, 0.4896)  4 H 2.35-2.55
H (0.1731, 0.1731, 0.7237)  1 Pt 1.79
H (0.6198, 0.6198, 0.9996)  4 La 2.46-2.55, 2 H 2.47
Pt (0.2845, 0.2845, 0.0001)  1 H 1.79
Pt (0.4331, 0.4331, 0.4808)  2 Pt 2.76-2.91, 1 H 3.07, 2 La 3.08

## Properties
Relative energy among the computed polymorphs in meV per atom: 68



Entry 7:
## La2HPt (GGA-PBE)

Data for an optimized crystal structure of La2HPt.

a = 5.9370 Å, b = 5.9061 Å, c = 12.8046 Å
α = 90.00°, β = 117.55°, γ = 90.00°
With the nearest neighbours (Å) after each atom.
Atoms (fractional coordinates):
La (0.1113, 0.2356, 0.1201)  2 H 2.66-2.79, 3 Pt 2.89-2.97
La (0.1113, 0.7644, 0.6201)  2 H 2.66-2.79, 3 Pt 2.89-2.97
La (0.3496, 0.2452, 0.8708)  2 H 2.61-2.81, 1 Pt 2.89
La (0.3496, 0.7548, 0.3708)  2 H 2.61-2.81, 1 Pt 2.89
La (0.6504, 0.2452, 0.6292)  2 H 2.61-2.81, 1 Pt 2.89
La (0.6504, 0.7548, 0.1292)  2 H 2.61-2.81, 1 Pt 2.89
La (0.8887, 0.2356, 0.3799)  2 H 2.66-2.79, 3 Pt 2.89-2.97
La (0.8887, 0.7644, 0.8799)  2 H 2.66-2.79, 3 Pt 2.89-2.97
H (0.0832, 0.2127, 0.6244)  4 La 2.61-2.81
H (0.0832, 0.7873, 0.1244)  4 La 2.61-2.81
H (0.9168, 0.2127, 0.8756)  4 La 2.61-2.81
H (0.9168, 0.7873, 0.3756)  4 La 2.61-2.81
Pt (0.3828, 0.2534, 0.3745)  6 La 2.89-2.97
Pt (0.3828, 0.7466, 0.8745)  6 La 2.89-2.97
Pt (0.6172, 0.2534, 0.1255)  6 La 2.89-2.97
Pt (0.6172, 0.7466, 0.6255)  6 La 2.89-2.97

## Properties
Relative energy among the computed polymorphs in meV per atom: 25



Entry 8:
## LaH3Pt3 (GGA-PBE)

Data for an optimized crystal structure of LaH3Pt3.

a = 6.4455 Å, b = 6.4455 Å, c = 4.8234 Å
α = 90.00°, β = 90.00°, γ = 120.00°
With the nearest neighbours (Å) after each atom.
Atoms (fractional coordinates):
La (0.3333, 0.6667, 0.2500)  9 H 2.51-2.70
La (0.6667, 0.3333, 0.7500)  9 H 2.51-2.70
H (0.1158, 0.5579, 0.7500)  2 Pt 1.85
H (0.4421, 0.5579, 0.7500)  2 Pt 1.85
H (0.4421, 0.8842, 0.7500)  2 Pt 1.85
H (0.5579, 0.1158, 0.2500)  2 Pt 1.85
H (0.5579, 0.4421, 0.2500)  2 Pt 1.85
H (0.8842, 0.4421, 0.2500)  2 Pt 1.85
Pt (0.1429, 0.2858, 0.7500)  2 H 1.85
Pt (0.1429, 0.8571, 0.7500)  2 H 1.85
Pt (0.2858, 0.1429, 0.2500)  2 H 1.85
Pt (0.7142, 0.8571, 0.7500)  2 H 1.85
Pt (0.8571, 0.1429, 0.2500)  2 H 1.85
Pt (0.8571, 0.7142, 0.2500)  2 H 1.85

## Properties
DFT total energy in eV per atom: -5.323



Entry 9:
## La3HPt (GGA-PBE)

Data for an optimized crystal structure of La3HPt.

a = 8.1900 Å, b = 3.9572 Å, c = 8.2167 Å
α = 90.00°, β = 107.58°, γ = 90.00°
With the nearest neighbours (Å) after each atom.
Atoms (fractional coordinates):
La (0.0624, 0.0000, 0.3056)  2 H 2.69
La (0.3045, 0.0000, 0.0607)  2 H 2.69
La (0.3419, 0.5000, 0.6592)  2 H 2.71, 2 Pt 2.89
La (0.6581, 0.5000, 0.3408)  2 H 2.71, 2 Pt 2.89
La (0.6955, 0.0000, 0.9393)  2 H 2.69
La (0.9376, 0.0000, 0.6944)  2 H 2.69
H (0.0000, 0.5000, 0.5000)  6 La 2.69-2.71
H (0.5000, 0.5000, 0.0000)  6 La 2.69-2.71
Pt (0.0000, 0.5000, 0.0000)  8 La 3.10-3.12
Pt (0.5000, 0.0000, 0.5000)  4 La 2.89

## Properties
Relative energy among the computed polymorphs in meV per atom: 0



Entry 10:
## LaH8Pt2 (GGA-PBE)

Data for an optimized crystal structure of LaH8Pt2.

a = 4.5643 Å, b = 4.5643 Å, c = 7.3154 Å
α = 110.61°, β = 110.61°, γ = 59.03°
With the nearest neighbours (Å) after each atom.
Atoms (fractional coordinates):
La (0.0000, 0.0000, 0.0000)  12 H 2.49-2.53
H (0.0554, 0.5549, 0.1487)  1 Pt 1.67
H (0.3384, 0.3384, 0.4706)  2 Pt 1.75-1.83
H (0.4244, 0.4244, 0.8263)  1 Pt 1.67
H (0.4451, 0.9446, 0.8513)  1 Pt 1.67
H (0.5549, 0.0554, 0.1487)  1 Pt 1.67
H (0.5756, 0.5756, 0.1737)  1 Pt 1.67
H (0.6616, 0.6616, 0.5294)  2 Pt 1.75-1.83
H (0.9446, 0.4451, 0.8513)  1 Pt 1.67
Pt (0.4459, 0.4459, 0.3043)  5 H 1.67-1.83
Pt (0.5541, 0.5541, 0.6957)  5 H 1.67-1.83

## Properties
Relative energy among the computed polymorphs in meV per atom: 122



Entry 11:
## LaH4Pt (GGA-PBE)

Data for an optimized crystal structure of LaH4Pt.

a = 4.6322 Å, b = 4.6322 Å, c = 4.6322 Å
α = 124.78°, β = 119.50°, γ = 86.40°
With the nearest neighbours (Å) after each atom.
Atoms (fractional coordinates):
La (0.0000, 0.0000, 0.0000)  12 H 2.55-2.67
H (0.0660, 0.3309, 0.7351)  1 Pt 1.68
H (0.4042, 0.6691, 0.7351)  1 Pt 1.68
H (0.5958, 0.3309, 0.2649)  1 Pt 1.68
H (0.9340, 0.6691, 0.2649)  1 Pt 1.68
Pt (0.5000, 0.5000, 0.0000)  4 H 1.68

## Properties
DFT total energy in eV per atom: -4.624